[1]
DFT (GGA-PBE) results for an optimized crystal structure of Pr2NdGe7.

extended XYZ file:
```
10
Lattice="2.0807 -12.7108 0.0000 2.0807 12.7108 0.0000 0.0000 0.0000 4.2935" Properties=species:S:1:pos:R:3 pbc="T T T"
Pr 2.0807 8.1268 0.0000
Pr 2.0807 -8.1268 0.0000
Ge 2.0807 10.4064 2.1467
Ge 2.0807 -2.2963 0.0000
Ge 2.0807 5.5516 2.1467
Ge 2.0807 0.0000 2.1467
Ge 2.0807 -5.5516 2.1467
Ge 2.0807 -10.4064 2.1467
Ge 2.0807 2.2963 0.0000
Nd 0.0000 0.0000 0.0000
```



[2]
DFT (GGA-PBE) results for an optimized crystal structure of PrNdGe.

extended XYZ file:
```
3
Lattice="0.0000 3.5943 3.5943 3.5943 0.0000 3.5943 3.5943 3.5943 0.0000" Properties=species:S:1:pos:R:3 pbc="T T T"
Pr 5.3915 5.3915 5.3915
Ge 1.7972 1.7972 1.7972
Nd 0.0000 0.0000 0.0000
```



[3]
DFT (GGA-PBE) results for an optimized crystal structure of PrNd2Ge4Pt4.

extended XYZ file:
```
11
Lattice="5.5702 4.5589 10.8535 3.8982 9.5642 7.9334 -7.3641 -7.2458 -7.9294" Properties=species:S:1:pos:R:3 pbc="T T T"
Pt 2.3560 3.5142 4.6746
Pt 2.9245 4.3567 9.0445
Pt 7.1124 10.6089 14.1122
Pt -0.8203 2.5206 1.8130
Nd 1.6109 6.1469 6.6368
Nd 0.4934 0.7304 4.2207
Pr 0.0000 0.0000 0.0000
Ge 5.2056 7.7647 10.3288
Ge 0.1021 3.8964 3.6431
Ge 4.2628 6.3584 8.4581
Ge 2.0021 2.9808 7.2143
```



[4]
DFT (GGA-PBE) results for an optimized crystal structure of PrNdSc2Ge2.

extended XYZ file:
```
6
Lattice="-3.5071 -3.8422 6.8638 -4.1998 2.2431 7.1766 1.1838 0.5723 -8.5114" Properties=species:S:1:pos:R:3 pbc="T T T"
Sc -1.1627 -1.6352 -0.8218
Sc -1.5091 1.4075 -0.6654
Ge -6.7726 -1.4052 12.3383
Ge -0.9345 -0.1939 1.7025
Nd -5.2095 -1.0809 9.4907
Pr -2.4948 -0.5177 4.5451
```



[5]
DFT (GGA-PBE) results for an optimized crystal structure of PrNdZn6Ge3.

extended XYZ file:
```
22
Lattice="4.1117 0.0000 0.0000 0.0000 13.2942 0.0000 0.0000 0.0000 7.6738" Properties=species:S:1:pos:R:3 pbc="T T T"
Zn 2.0558 4.7220 6.5641
Zn 2.0558 8.5721 6.5641
Zn 2.0558 0.0000 6.0596
Zn 2.0558 6.6471 2.2205
Zn 0.0000 7.9037 0.7233
Zn 0.0000 12.0393 4.5633
Zn 0.0000 1.2548 4.5633
Zn 2.0558 1.9234 2.7250
Zn 2.0558 11.3708 2.7250
Zn 0.0000 6.6471 6.2252
Zn 0.0000 5.3905 0.7233
Zn 0.0000 0.0000 2.3862
Ge 2.0558 6.6471 4.7502
Ge 2.0558 10.7622 5.3031
Ge 2.0558 9.1833 1.4594
Ge 2.0558 2.5319 5.3031
Ge 2.0558 0.0000 0.9096
Ge 2.0558 4.1109 1.4594
Nd 0.0000 2.2151 0.0000
Nd 0.0000 11.0790 0.0000
Pr 0.0000 4.4310 3.8375
Pr 0.0000 8.8632 3.8375
```



[6]
DFT (GGA-PBE) results for an optimized crystal structure of PrNd3Zn12Ge6.

extended XYZ file:
```
22
Lattice="7.6678 0.0000 0.0000 0.0000 4.1078 0.0000 0.0000 0.0000 13.2831" Properties=species:S:1:pos:R:3 pbc="T T T"
Zn 1.6116 2.0539 6.6415
Zn 1.1102 2.0539 11.3585
Zn 6.9447 0.0000 12.0284
Zn 1.4481 0.0000 0.0000
Zn 4.9450 2.0539 4.7169
Zn 4.9454 2.0539 8.5654
Zn 3.1091 0.0000 7.8954
Zn 1.1111 2.0539 1.9248
Zn 5.2826 0.0000 6.6416
Zn 5.4462 2.0539 0.0000
Zn 6.9434 0.0000 1.2548
Zn 3.1095 0.0000 5.3867
Ge 2.3708 2.0539 9.1716
Ge 2.9223 2.0539 0.0023
Ge 6.2086 2.0539 10.7508
Ge 2.3722 2.0539 4.1094
Ge 6.7572 2.0539 6.6415
Ge 6.2061 2.0539 2.5322
Nd 0.0000 0.0000 8.8550
Nd 0.0000 0.0000 4.4278
Nd 3.8335 0.0000 2.2140
Pr 3.8336 0.0000 11.0694
```



For the records above, the corresponding DFT total energy values read -5.1950 -4.4416 -6.1641 -5.9582 -3.2409 -3.2395 eV per atom.